Run 1
PBE-GGA Al2HAu, relaxed; total magnetic moment = 0.000 μB per formula unit; SG = Fm-3m (225)
1.0
0.802 0.114 4.234
-2.181 -2.580 2.677
1.996 -3.311 1.905
H Au Al
1 1 2
Direct
0.000 0.000 0.000 H
0.500 0.500 0.500 Au
0.250 0.250 0.250 Al
0.750 0.750 0.750 Al

---

Run 2
PBE-GGA Al2HAu, relaxed; total magnetic moment = 0.000 μB per formula unit; SG = I-42d (122)
1.0
4.704 0.000 0.000
0.000 4.704 0.000
2.352 2.352 5.692
H Au Al
2 2 4
Direct
0.500 0.500 0.000 H
0.250 0.750 0.500 H
0.000 0.000 0.000 Au
0.750 0.250 0.500 Au
0.504 0.125 0.250 Al
0.246 0.625 0.250 Al
0.375 0.496 0.750 Al
0.875 0.754 0.750 Al

---

Run 3
PBE-GGA Al2HAu, relaxed; total magnetic moment = 0.000 μB per formula unit; SG = R-3m (166)
1.0
3.764 0.000 0.000
1.882 3.260 0.000
1.882 1.087 6.171
H Au Al
1 1 2
Direct
0.000 0.000 0.000 H
0.500 0.500 0.500 Au
0.093 0.093 0.720 Al
0.907 0.907 0.280 Al

---

Quick look at relative energies in eV/atom: run 1 0.140; run 2 0.107; run 3 0.000.

---

Run 1
PBE-GGA AlH2Au2, relaxed; total magnetic moment = 0.000 μB per formula unit; SG = I4/mmm (139)
1.0
3.075 0.000 0.000
0.000 3.075 0.000
1.538 1.538 6.321
H Au Al
2 2 1
Direct
0.750 0.250 0.500 H
0.250 0.750 0.500 H
0.365 0.365 0.270 Au
0.635 0.635 0.730 Au
0.000 0.000 0.000 Al

---

Run 2
PBE-GGA AlH2Au2, relaxed; total magnetic moment = 0.000 μB per formula unit; SG = P4/mbm (127)
1.0
-1.224 2.248 -6.324
5.168 -3.786 -2.346
-1.751 -2.130 -0.419
H Au Al
4 4 2
Direct
0.460 0.960 0.000 H
0.960 0.540 0.000 H
0.540 0.040 0.000 H
0.040 0.460 0.000 H
0.252 0.752 0.500 Au
0.752 0.748 0.500 Au
0.748 0.248 0.500 Au
0.248 0.252 0.500 Au
0.000 0.000 0.000 Al
0.500 0.500 0.000 Al

---

Quick look at relative energies in eV/atom: run 1 0.216; run 2 0.000.